Sc4TcRu | PBE-GGA | optimized geometry

a b c (Å): 4.495 4.495 6.352
angles (deg): 90.00 90.00 90.00
Space group P4/mmm (No. 123)
Unique sites:
Sc (0.000, 0.500, 0.249)
Tc (0.000, 0.000, 0.000)
Ru (0.500, 0.500, 0.500)

The density of states at the Fermi level is 5.09 states/eV per cell. For the total energy, the calculation gives -0.2795 Ha/atom. The value obtained for the formation energy is -0.11 eV per atom. The total moment is 0.0 μB per formula unit. The energy above the most stable polymorph in this dataset comes out at 237.6 meV per atom.